(1)
# InFeNi2C

A geometry-optimized InFeNi2C structure (PBE, Alexandria via LeMat-Bulk).

a = 3.8935 Å, b = 3.8935 Å, c = 3.8301 Å
α = 90.00°, β = 90.00°, γ = 90.00°
Last column: nearest neighbours and their distance in Å.
Fractional coordinates of all 5 atoms:
In (0.0000, 0.0000, 0.0000)  8 Ni 2.73, 4 Fe 2.75
Fe (0.5000, 0.5000, 0.0000)  2 C 1.92
Ni (0.0000, 0.5000, 0.5000)  2 C 1.95
Ni (0.5000, 0.0000, 0.5000)  2 C 1.95
C (0.5000, 0.5000, 0.5000)  2 Fe 1.92, 4 Ni 1.95

Values from the calculation:
- ΔE_f (eV/f.u.) = -0.02
- excess energy over the best structure of this formula in the dataset (meV/atom) = 0

=====

(2)
# LaYNbN3

A geometry-optimized LaYNbN3 structure (PBE, Alexandria via LeMat-Bulk).

a = 7.4738 Å, b = 3.4836 Å, c = 8.1525 Å
α = 90.00°, β = 93.64°, γ = 90.00°
Last column: nearest neighbours and their distance in Å.
Fractional coordinates of all 12 atoms:
La (0.1604, 0.2500, 0.1729)  3 N 2.50-2.79
La (0.8396, 0.7500, 0.8271)  3 N 2.50-2.79
Y (0.3816, 0.7500, 0.8540)  5 N 2.22-2.48
Y (0.6184, 0.2500, 0.1460)  5 N 2.22-2.48
Nb (0.1216, 0.2500, 0.5816)  4 N 2.03-2.17
Nb (0.8784, 0.7500, 0.4184)  4 N 2.03-2.17
N (0.1444, 0.2500, 0.8305)  1 Nb 2.03
N (0.1685, 0.7500, 0.4541)  3 Nb 2.07-2.17
N (0.3919, 0.7500, 0.1267)  3 Y 2.22-2.43
N (0.6081, 0.2500, 0.8733)  3 Y 2.22-2.43
N (0.8315, 0.2500, 0.5459)  3 Nb 2.07-2.17
N (0.8556, 0.7500, 0.1695)  1 Nb 2.03

Values from the calculation:
- formation energy without anion corrections (eV/f.u.) = -6.578

=====

(3)
# TaTiTlAu2

A geometry-optimized TaTiTlAu2 structure (PBE, Alexandria via LeMat-Bulk).

a = 5.2394 Å, b = 5.2394 Å, c = 4.7582 Å
α = 90.00°, β = 90.00°, γ = 90.00°
Last column: nearest neighbours and their distance in Å.
Fractional coordinates of all 5 atoms:
Ta (0.0000, 0.0000, 0.0000)  2 Ti 2.38, 4 Au 2.62
Ti (0.0000, 0.0000, 0.5000)  2 Ta 2.38
Tl (0.5000, 0.5000, 0.5000)  8 Au 3.54, 4 Ti 3.70
Au (0.0000, 0.5000, 0.0000)  2 Ta 2.62
Au (0.5000, 0.0000, 0.0000)  2 Ta 2.62

Values from the calculation:
- ΔE_f (eV/f.u.) = 4.05